1.
First-principles (PBE) data for TiMoN3 after structural relaxation, as listed in Alexandria.

final energy: -9.36 eV per atom
D(E_F): 0.000 states/eV/atom
formation energy without anion corrections: -0.62 eV per atom
volume: 11.38 A^3/atom

The structure in extended XYZ format:
```
20
Lattice="19.804 0.000 1.933 0.000 5.596 0.000 -6.551 0.000 1.414" Properties=species:S:1:pos:R:3 pbc="T T T"
Mo -2.212 2.140 1.157
Mo 15.465 3.456 2.190
Mo 2.288 4.938 1.930
Mo 10.965 0.658 1.416
N 0.240 5.527 1.706
N 13.014 0.070 1.641
N -0.164 2.728 1.381
N 13.417 2.868 1.965
N 4.817 2.044 1.764
N 8.436 3.552 1.582
N -4.741 4.842 1.323
N 17.994 0.754 2.024
N 4.263 4.708 1.570
N 8.990 0.889 1.777
N -4.187 1.910 1.517
N 17.440 3.687 1.829
Ti 6.103 4.189 1.751
Ti 7.150 1.407 1.595
Ti -6.027 1.391 1.336
Ti 19.280 4.205 2.011
```


2.
First-principles (PBE) data for Ti3MoN after structural relaxation, as listed in Alexandria.

final energy: -9.28 eV per atom
polymorph energy (0 for the lowest one): 0.00 eV/f.u.
D(E_F): 0.542 states/eV/atom
formation energy without anion corrections: -0.71 eV per atom
volume: 14.10 A^3/atom

The structure in extended XYZ format:
```
5
Lattice="4.131 0.000 0.000 0.000 4.131 0.000 0.000 0.000 4.131" Properties=species:S:1:pos:R:3 pbc="T T T"
Mo 2.066 2.066 2.066
N 0.000 0.000 0.000
Ti 0.000 2.066 0.000
Ti 0.000 0.000 2.066
Ti 2.066 0.000 0.000
```


3.
First-principles (PBE) data for TiMoN after structural relaxation, as listed in Alexandria.

final energy: -9.26 eV per atom
D(E_F): 0.504 states/eV/atom
formation energy without anion corrections: -0.24 eV per atom
volume: 13.15 A^3/atom

The structure in extended XYZ format:
```
6
Lattice="0.043 -0.536 -3.575 1.938 -3.052 0.029 -5.124 -3.248 0.426" Properties=species:S:1:pos:R:3 pbc="T T T"
N -2.815 -4.995 -0.418
N -0.444 -1.633 -2.496
Ti 0.942 -3.270 -1.189
Ti -3.664 -4.332 -2.687
Mo -0.717 -4.969 -3.092
Mo -1.707 -3.174 -1.319
```


4.
First-principles (PBE) data for TiMoN3 after structural relaxation, as listed in Alexandria.

final energy: -9.33 eV per atom
D(E_F): 0.738 states/eV/atom
formation energy without anion corrections: -0.59 eV per atom
volume: 12.02 A^3/atom

The structure in extended XYZ format:
```
20
Lattice="-2.341 8.665 -5.319 -5.538 3.944 0.255 0.499 -1.032 6.707" Properties=species:S:1:pos:R:3 pbc="T T T"
Mo -2.106 3.281 1.935
Mo -0.163 0.943 4.320
Mo -5.273 8.296 -0.293
Mo -7.217 10.634 -2.678
N -3.055 4.496 0.750
N -4.760 3.677 5.771
N -4.325 7.082 0.893
N -2.619 7.900 -4.128
N -1.508 1.751 1.146
N -4.713 5.500 3.171
N -5.872 9.826 0.496
N -2.666 6.077 -1.529
N -6.131 8.074 3.017
N -4.091 8.803 -1.724
N -1.248 3.504 -1.375
N -3.289 2.775 3.367
Ti -2.335 6.462 0.510
Ti -5.044 5.115 1.133
Ti -4.553 8.487 -3.823
Ti -2.827 3.090 5.465
```


5.
First-principles (PBE) data for TiMoN3 after structural relaxation, as listed in Alexandria.

final energy: -9.44 eV per atom
D(E_F): 0.999 states/eV/atom
formation energy without anion corrections: -0.70 eV per atom
volume: 9.79 A^3/atom

The structure in extended XYZ format:
```
5
Lattice="2.935 0.000 0.000 1.468 2.542 0.000 0.000 1.693 6.559" Properties=species:S:1:pos:R:3 pbc="T T T"
Mo 1.155 0.141 0.365
Ti 1.155 1.835 4.184
N 2.623 0.988 1.639
N 2.623 2.682 5.576
N 2.623 0.987 2.997
```


6.
First-principles (PBE) data for TiMoN3 after structural relaxation, as listed in Alexandria.

final energy: -9.45 eV per atom
D(E_F): 0.234 states/eV/atom
formation energy without anion corrections: -0.71 eV per atom
volume: 10.39 A^3/atom

The structure in extended XYZ format:
```
10
Lattice="6.702 -0.002 0.006 -0.640 2.856 0.000 -0.608 -0.134 5.431" Properties=species:S:1:pos:R:3 pbc="T T T"
Mo 4.306 1.252 1.317
Mo 2.537 2.357 3.368
Ti 5.489 0.020 4.728
Ti 0.477 1.896 1.500
N 0.600 1.928 3.805
N 4.342 1.262 3.428
N 2.308 0.805 1.935
N 0.033 1.795 4.955
N 2.936 2.447 5.365
N 6.134 0.162 1.426
```


7.
First-principles (PBE) data for TiMo3N after structural relaxation, as listed in Alexandria.

final energy: -9.93 eV per atom
polymorph energy (0 for the lowest one): 0.00 eV/f.u.
D(E_F): 1.068 states/eV/atom
formation energy without anion corrections: -0.18 eV per atom
volume: 14.27 A^3/atom

The structure in extended XYZ format:
```
5
Lattice="-0.448 -3.507 2.168 4.098 -0.621 -0.157 0.458 2.125 3.532" Properties=species:S:1:pos:R:3 pbc="T T T"
Mo 2.049 -0.311 -0.079
Mo 0.229 1.063 1.766
Mo -0.224 -1.753 1.084
N 0.000 0.000 0.000
Ti 2.054 -1.001 2.772
```


8.
First-principles (PBE) data for TiMoN3 after structural relaxation, as listed in Alexandria.

final energy: -9.40 eV per atom
D(E_F): 0.560 states/eV/atom
formation energy without anion corrections: -0.66 eV per atom
volume: 9.77 A^3/atom

The structure in extended XYZ format:
```
10
Lattice="2.956 0.001 0.000 0.005 5.105 -0.003 1.483 0.865 6.474" Properties=species:S:1:pos:R:3 pbc="T T T"
Mo 1.044 4.382 3.660
Mo 2.520 1.830 3.662
Ti 1.039 0.970 1.023
Ti 2.519 3.523 1.022
N 3.998 2.681 4.950
N 2.522 5.232 4.948
N 2.524 5.236 6.324
N 4.000 2.685 6.326
N 2.521 5.230 2.365
N 1.041 2.677 2.366
```


9.
First-principles (PBE) data for TiMoN3 after structural relaxation, as listed in Alexandria.

final energy: -8.07 eV per atom
D(E_F): 0.472 states/eV/atom
formation energy without anion corrections: 0.67 eV per atom
volume: 11.34 A^3/atom

The structure in extended XYZ format:
```
5
Lattice="-3.591 -0.447 1.290 -1.174 -0.844 -3.559 0.697 -3.721 0.652" Properties=species:S:1:pos:R:3 pbc="T T T"
Mo -2.034 -2.506 -0.809
N -0.587 -0.422 -1.780
N 0.349 -1.861 0.326
N -1.796 -0.223 0.645
Ti 0.000 0.000 0.000
```


10.
First-principles (PBE) data for TiMoN3 after structural relaxation, as listed in Alexandria.

final energy: -9.30 eV per atom
D(E_F): 0.452 states/eV/atom
formation energy without anion corrections: -0.56 eV per atom
volume: 10.31 A^3/atom

The structure in extended XYZ format:
```
20
Lattice="-0.294 -2.563 4.916 2.454 -6.300 -3.137 4.699 1.342 0.981" Properties=species:S:1:pos:R:3 pbc="T T T"
Mo 2.350 0.671 0.490
Mo 1.080 -4.431 0.890
Mo -0.147 -1.281 2.458
Mo 3.577 -2.479 -1.078
N 6.071 -5.174 -1.149
N 2.458 -3.008 0.529
N 1.625 -0.868 1.594
N 1.622 -4.486 2.843
N 0.788 -2.346 3.908
N 4.401 -4.513 2.231
N 5.234 -6.652 1.166
N 5.237 -3.035 -0.083
N 4.409 -1.577 2.188
N 3.397 -4.434 -1.720
N 2.450 -5.943 0.571
N 3.463 -3.087 4.480
Ti 2.666 -2.430 2.537
Ti 6.143 -5.773 3.118
Ti 4.194 -5.091 0.222
Ti 0.716 -1.747 -0.358
```


11.
First-principles (PBE) data for TiMoN3 after structural relaxation, as listed in Alexandria.

final energy: -9.15 eV per atom
D(E_F): 0.816 states/eV/atom
formation energy without anion corrections: -0.41 eV per atom
volume: 11.02 A^3/atom

The structure in extended XYZ format:
```
10
Lattice="-4.836 -0.066 2.491 -0.437 -1.102 5.309 -1.392 3.846 3.586" Properties=species:S:1:pos:R:3 pbc="T T T"
Mo 0.000 0.000 0.000
Mo -3.332 1.339 5.693
N -4.893 0.224 6.368
N -4.317 3.085 6.032
N -2.452 1.377 7.525
N -4.212 1.301 3.860
N -2.347 -0.407 5.354
N -1.771 2.453 5.018
Ti -1.666 0.669 2.846
Ti -4.998 2.008 8.539
```


12.
First-principles (PBE) data for TiMoN3 after structural relaxation, as listed in Alexandria.

final energy: -9.36 eV per atom
D(E_F): 0.000 states/eV/atom
formation energy without anion corrections: -0.62 eV per atom
volume: 12.40 A^3/atom

The structure in extended XYZ format:
```
20
Lattice="19.030 0.000 0.574 0.000 5.471 0.000 -6.447 0.000 2.188" Properties=species:S:1:pos:R:3 pbc="T T T"
Mo 5.683 3.726 2.031
Mo 6.900 1.745 0.731
Mo 13.191 0.990 2.112
Mo -0.609 4.481 0.650
N -0.298 5.154 2.269
N 12.881 0.318 0.493
N 0.142 2.418 1.300
N 12.441 3.053 1.462
N 4.852 2.019 1.241
N 7.731 3.452 1.521
N 1.439 4.755 0.140
N 11.144 0.717 2.622
N 3.870 4.593 2.054
N 8.713 0.879 0.708
N -4.026 1.857 1.515
N 16.609 3.614 1.247
Ti -2.124 1.899 1.410
Ti 14.706 3.573 1.352
Ti 1.968 4.634 2.159
Ti 10.615 0.837 0.603
```


13.
First-principles (PBE) data for TiMoN3 after structural relaxation, as listed in Alexandria.

final energy: -9.30 eV per atom
D(E_F): 0.465 states/eV/atom
formation energy without anion corrections: -0.56 eV per atom
volume: 16.05 A^3/atom

The structure in extended XYZ format:
```
5
Lattice="-2.799 0.665 0.803 -0.653 -5.137 1.979 1.910 3.961 3.376" Properties=species:S:1:pos:R:3 pbc="T T T"
Mo 0.322 3.625 3.675
N -0.971 0.340 1.888
N -0.389 -0.205 4.369
N 1.364 2.022 3.078
Ti 0.853 0.208 2.800
```


14.
First-principles (PBE) data for TiMoN3 after structural relaxation, as listed in Alexandria.

final energy: -9.43 eV per atom
D(E_F): 0.364 states/eV/atom
formation energy without anion corrections: -0.69 eV per atom
volume: 9.75 A^3/atom

The structure in extended XYZ format:
```
5
Lattice="-3.239 -1.727 5.403 2.472 -1.114 1.126 1.776 1.697 1.607" Properties=species:S:1:pos:R:3 pbc="T T T"
Mo 1.660 0.723 3.125
Ti -1.090 -0.182 4.439
N 1.935 -0.440 1.368
N 0.651 -1.125 3.511
N -0.632 -1.809 5.651
```


15.
First-principles (PBE) data for TiMoN3 after structural relaxation, as listed in Alexandria.

final energy: -9.23 eV per atom
D(E_F): 0.347 states/eV/atom
formation energy without anion corrections: -0.49 eV per atom
volume: 11.14 A^3/atom

The structure in extended XYZ format:
```
10
Lattice="-12.106 7.808 -5.864 -4.743 0.673 -3.829 2.869 -3.133 4.423" Properties=species:S:1:pos:R:3 pbc="T T T"
Mo -7.340 3.400 -0.736
Mo -6.640 1.948 -4.533
N -8.823 4.277 -1.784
N -5.157 1.072 -3.485
N 0.226 -1.740 1.853
N -14.206 7.088 -7.122
N -8.081 3.173 -4.010
N -5.900 2.176 -1.259
Ti -12.675 5.822 -7.530
Ti -1.306 -0.474 2.261
```


16.
First-principles (PBE) data for TiMoN3 after structural relaxation, as listed in Alexandria.

final energy: -9.28 eV per atom
D(E_F): 0.362 states/eV/atom
formation energy without anion corrections: -0.54 eV per atom
volume: 10.32 A^3/atom

The structure in extended XYZ format:
```
20
Lattice="-3.105 -2.113 3.879 -1.295 -6.287 -4.461 3.919 -2.188 1.945" Properties=species:S:1:pos:R:3 pbc="T T T"
Mo -0.298 -3.800 2.018
Mo -0.068 -8.774 2.113
Mo -0.182 -6.788 -0.654
Mo -0.412 -1.813 -0.749
N 1.448 -7.921 -1.729
N -0.237 -3.938 -0.005
N 0.178 -1.920 1.427
N -2.344 -4.685 1.660
N -1.928 -2.667 3.092
N -0.243 -6.650 1.368
N -0.659 -8.668 -0.064
N 1.864 -5.903 -0.297
N 1.600 -4.278 2.141
N 0.077 -5.591 -2.417
N -2.081 -6.309 -0.777
N -0.557 -4.997 3.780
Ti 1.960 -1.094 0.973
Ti -2.200 -4.200 -0.291
Ti -1.552 -1.057 1.940
Ti 1.312 -4.237 -1.258
```


17.
First-principles (PBE) data for TiMoN3 after structural relaxation, as listed in Alexandria.

final energy: -8.91 eV per atom
D(E_F): 0.138 states/eV/atom
formation energy without anion corrections: -0.17 eV per atom
volume: 11.84 A^3/atom

The structure in extended XYZ format:
```
5
Lattice="-0.445 2.870 1.846 -3.362 -0.050 -0.733 -0.849 -2.757 4.083" Properties=species:S:1:pos:R:3 pbc="T T T"
Mo -2.396 -0.189 2.924
N -0.673 -2.186 3.237
N -0.529 0.441 2.395
N -1.987 -1.019 1.106
Ti -0.144 -0.468 0.694
```


18.
First-principles (PBE) data for TiMoN3 after structural relaxation, as listed in Alexandria.

final energy: -9.38 eV per atom
D(E_F): 0.672 states/eV/atom
formation energy without anion corrections: -0.64 eV per atom
volume: 10.90 A^3/atom

The structure in extended XYZ format:
```
10
Lattice="-0.946 -3.324 4.419 3.935 -2.036 3.442 0.692 1.456 5.373" Properties=species:S:1:pos:R:3 pbc="T T T"
Mo 1.316 -1.396 4.732
Mo 2.364 -2.508 8.503
N 0.376 -0.515 6.175
N 3.165 -1.110 5.224
N 2.613 -0.640 8.062
N 0.515 -2.793 8.010
N 3.304 -3.389 7.059
N 1.068 -3.263 5.172
Ti 0.562 -0.596 2.020
Ti 3.118 -3.308 11.214
```


19.
First-principles (PBE) data for Ti3MoN after structural relaxation, as listed in Alexandria.

final energy: -6.83 eV per atom
polymorph energy (0 for the lowest one): 12.24 eV/f.u.
D(E_F): 0.681 states/eV/atom
formation energy without anion corrections: 1.73 eV per atom
volume: 20.58 A^3/atom

The structure in extended XYZ format:
```
5
Lattice="-4.439 1.178 -0.933 -1.209 -1.069 4.400 0.893 4.408 1.317" Properties=species:S:1:pos:R:3 pbc="T T T"
Mo 0.000 0.000 0.000
N -2.377 2.258 2.391
Ti -0.604 -0.535 2.200
Ti 0.446 2.204 0.658
Ti -2.219 0.589 -0.467
```


20.
First-principles (PBE) data for Ti2MoN after structural relaxation, as listed in Alexandria.

final energy: -9.61 eV per atom
D(E_F): 0.880 states/eV/atom
formation energy without anion corrections: -0.88 eV per atom
volume: 13.21 A^3/atom

The structure in extended XYZ format:
```
4
Lattice="-2.090 1.416 1.503 -2.832 -0.589 -0.512 -1.490 -4.762 5.285" Properties=species:S:1:pos:R:3 pbc="T T T"
Mo -3.206 -1.968 3.138
N 0.000 0.000 0.000
Ti -4.797 -3.356 5.104
Ti -1.615 -0.580 1.171
```


21.
First-principles (PBE) data for TiMo2N after structural relaxation, as listed in Alexandria.

final energy: -9.73 eV per atom
D(E_F): 0.704 states/eV/atom
formation energy without anion corrections: -0.26 eV per atom
volume: 13.87 A^3/atom

The structure in extended XYZ format:
```
8
Lattice="7.135 0.000 0.000 0.000 7.135 0.000 3.568 3.568 2.179" Properties=species:S:1:pos:R:3 pbc="T T T"
Mo 4.513 1.784 0.545
Mo 2.623 5.352 0.545
Mo 5.352 6.190 1.634
Mo 8.919 8.080 1.634
N 3.568 3.568 0.000
N 3.568 7.135 1.089
Ti 0.000 0.000 0.000
Ti 7.135 3.568 1.089
```


22.
First-principles (PBE) data for TiMoN3 after structural relaxation, as listed in Alexandria.

final energy: -9.07 eV per atom
D(E_F): 0.579 states/eV/atom
formation energy without anion corrections: -0.33 eV per atom
volume: 11.35 A^3/atom

The structure in extended XYZ format:
```
10
Lattice="3.354 0.000 0.000 0.000 3.354 0.000 1.677 1.677 10.088" Properties=species:S:1:pos:R:3 pbc="T T T"
Mo 0.000 0.000 0.000
Mo 1.677 3.354 5.044
N 1.029 3.354 1.764
N 1.677 4.003 8.324
N 1.677 2.706 8.324
N 2.326 3.354 1.764
N 1.677 1.677 3.984
N 3.354 3.354 6.104
Ti 3.354 1.677 7.452
Ti 3.354 1.677 2.636
```